[1]
Fe2TeH | PBE-GGA | optimized geometry

a b c (Å): 4.0728 4.0728 4.0728
angles (deg): 60.00 60.00 60.00
Fractional coordinates of all 4 atoms:
Fe 0.2500 0.2500 0.2500
Fe 0.7500 0.7500 0.7500
Te 0.0000 0.0000 0.0000
H 0.5000 0.5000 0.5000

Summary:
Size of the total moment   0.112 μB per atom
Mass density   8353 kg/m3
Energy   -5.156 eV per atom
SG   Fm-3m
Distance to the lowest polymorph of the same formula   462 meV/atom

[2]
CuTeRhN2 | PBE-GGA | optimized geometry

a b c (Å): 3.7343 3.7343 5.9850
angles (deg): 90.00 90.00 90.00
Fractional coordinates of all 5 atoms:
Cu 0.0000 0.0000 0.0000
Te 0.0000 0.0000 0.5000
Rh 0.5000 0.5000 0.5000
N 0.0000 0.5000 0.0000
N 0.5000 0.0000 0.0000

Summary:
Size of the total moment   0.577 μB per atom
Mass density   6408 kg/m3
Energy   -4.694 eV per atom
SG   P4/mmm
Distance to the lowest polymorph of the same formula   532 meV/atom

[3]
TbDyZr2 | PBE-GGA | optimized geometry

a b c (Å): 11.0310 11.0310 11.0310
angles (deg): 17.58 17.58 17.58
Fractional coordinates of all 4 atoms:
Tb 0.0000 0.0000 0.0000
Dy 0.1669 0.1669 0.1669
Zr 0.5831 0.5831 0.5831
Zr 0.7500 0.7500 0.7500

Summary:
Size of the total moment   0.000 μB per atom
Calculated formation energy   0.5 eV/f.u.
Mass density   7827 kg/m3
Energy   -6.463 eV per atom
SG   R3m
Distance to the lowest polymorph of the same formula   0 meV/atom

[4]
Th4GeSb3 | PBE-GGA | optimized geometry

a b c (Å): 7.7322 7.7322 7.7322
angles (deg): 131.87 131.87 70.43
Fractional coordinates of all 8 atoms:
Th 0.0000 0.5000 0.5000
Th 0.2388 0.2388 0.0000
Th 0.5000 0.0000 0.5000
Th 0.7612 0.7612 0.0000
Ge 0.0000 0.0000 0.0000
Sb 0.2500 0.7500 0.5000
Sb 0.5000 0.5000 0.0000
Sb 0.7500 0.2500 0.5000

Summary:
Size of the total moment   0.000 μB per atom
Mass density   9032 kg/m3
Energy   -6.708 eV per atom
SG   I4/mmm
Distance to the lowest polymorph of the same formula   19 meV/atom